# CrFe2W

An optimized crystal structure of CrFe2W (PBE-GGA, Alexandria via LeMat-Bulk).

Calculated formation energy in eV/atom: 0.213
ΔE to the lowest computed polymorph in meV/atom: 107.5
DOS at the Fermi energy in states/eV per atom: 1.28
Total moment in μB per atom: 0.221

Cell: 8.5685 2.6268 4.4516 Å, 90.00 100.49 90.00°
Element x y z (fractional)
1 Cr 0.0000 0.0000 0.0000
2 Cr 0.5000 0.5000 0.0000
3 Fe 0.0239 0.5000 0.5463
4 Fe 0.2591 0.0000 0.8051
5 Fe 0.5239 0.0000 0.5463
6 Fe 0.7591 0.5000 0.8051
7 W 0.2673 0.5000 0.3090
8 W 0.7673 0.0000 0.3090